Run a
ScSiCl2, relaxed, DFT PBE; space group = Cmm2 (35)
1.0
-2.1073 -2.1162 1.7694
3.2173 0.8056 1.0246
-3.4397 7.5153 4.8916
Cl Sc Si
2 1 1
Cartesian
-3.1887 6.9671 4.5347
-0.5521 1.7636 2.9714
-1.7683 3.8634 2.5146
-1.9801 4.8837 5.0022

***

Run b
ScSiCl2, relaxed, DFT PBE; space group = Cmmm (65)
1.0
3.2646 0.0254 0.0000
-1.5328 2.8825 0.0000
0.0000 0.0000 12.0657
Cl Sc Si
2 1 1
Cartesian
0.0000 0.0000 1.1860
0.0000 0.0000 4.8468
0.8659 1.4539 3.0164
0.8659 1.4539 9.0492

***

Relative energies with respect to the most stable structure, expressed in meV/atom: run a 0; run b 18.

***

Run a
Sc2SiCl, relaxed, DFT PBE; space group = P4mm (99)
1.0
-2.1845 2.2500 -0.5568
-1.2438 -0.4911 2.8907
5.5301 6.2195 3.4362
Cl Sc Si
1 2 1
Cartesian
2.7971 5.9531 3.9700
5.4013 6.0746 3.3561
-0.2485 2.5277 2.0776
2.4471 2.7522 1.5206

***

Run b
Sc2SiCl, relaxed, DFT PBE; space group = I-42d (122)
1.0
-0.4668 2.5720 -5.1819
-1.1767 -5.1323 -2.4413
-6.9502 -0.3559 -2.8008
Sc Si Cl
4 2 2
Cartesian
-2.1728 0.8570 -4.2039
-2.5350 -2.9552 -2.9139
-5.8381 -1.2668 -4.9782
-6.6416 -2.4674 -8.7520
-0.8218 -1.2802 -3.8116
-4.4743 -3.3842 -4.5269
0.0000 0.0000 0.0000
-4.1194 0.4680 -5.8972

***

Run c
Sc2SiCl, relaxed, DFT PBE; space group = R-3m (166)
1.0
-3.5026 -1.5633 -0.4040
-0.6939 -3.5515 1.3343
-3.1734 0.7995 6.0418
Cl Sc Si
1 2 1
Cartesian
-1.8425 -1.0788 1.7430
-3.1060 0.7047 5.8245
-3.7523 -2.0628 3.7034
-5.5274 -3.2365 5.2291

***

Relative energies with respect to the most stable structure, expressed in meV/atom: run a 491; run b 465; run c 0.

***

Run a
ScSi2Cl, relaxed, DFT PBE; space group = I-42d (122)
1.0
9.0130 0.0000 0.0000
0.0000 9.0130 0.0000
4.5065 4.5065 2.3228
Sc Si Cl
2 4 2
Cartesian
0.0000 0.0000 0.0000
9.0130 4.5065 1.1614
7.2862 2.2532 0.5807
1.7268 6.7597 0.5807
6.7597 6.2333 1.7421
11.2662 11.7927 1.7421
4.5065 4.5065 0.0000
4.5065 9.0130 1.1614

***

Run b
ScSi2Cl, relaxed, DFT PBE; space group = I4/mmm (139)
1.0
-2.8256 -4.6207 3.0160
-0.4396 -6.0676 -1.1931
3.7356 4.9293 0.4232
Cl Sc Si
1 1 2
Cartesian
0.8317 -3.2412 0.0708
-0.3613 -2.5178 2.1754
0.0000 0.0000 0.0000
-1.6326 -5.3442 0.9115

***

Run c
ScSi2Cl, relaxed, DFT PBE; space group = I-4m2 (119)
1.0
4.7155 -0.0172 0.0000
0.0039 4.7155 0.0000
-2.3597 -2.3491 3.3391
Cl Sc Si
1 1 2
Cartesian
2.3597 2.3491 0.0000
2.3577 -0.0086 1.6695
0.0000 0.0000 0.0000
0.0019 2.3577 1.6695

***

Relative energies with respect to the most stable structure, expressed in meV/atom: run a 296; run b 0; run c 337.

***

Run a
ScSi2Cl, relaxed, DFT PBE; space group = Imm2 (44)
1.0
5.1037 0.0693 -0.0847
0.6613 5.0611 0.0847
-1.9574 -3.6048 3.0387
Cl Sc Si
1 1 2
Cartesian
2.9817 2.6535 0.0000
3.0180 -0.4820 1.4770
0.1529 0.1361 0.0000
0.5376 1.7833 1.5617

***

Run b
ScSi2Cl, relaxed, DFT PBE; space group = Cm (8)
1.0
4.5157 0.0051 0.0009
3.0072 3.3688 0.0009
2.8652 1.2850 5.1936
Cl Sc Si
1 1 2
Cartesian
5.3268 2.3890 2.1608
3.1502 1.4128 1.8834
9.9904 4.4806 4.8304
7.5027 3.3649 4.1142

***

Relative energies with respect to the most stable structure, expressed in meV/atom: run a 187; run b 0.

***

Run a
ScSi2Cl, relaxed, DFT PBE; space group = Cmm2 (35)
1.0
-1.2484 -2.5558 -1.4466
2.9107 -1.1198 0.6758
-2.8624 -2.8793 7.5574
Cl Sc Si
1 1 2
Cartesian
-1.6818 -1.6917 4.4402
-1.3930 -4.0751 5.4868
-2.8337 -2.8504 7.4815
0.4147 -2.2567 0.7142

***

Run b
ScSi2Cl, relaxed, DFT PBE; space group = Fm-3m (225)
1.0
4.0298 -1.2868 2.2379
0.3801 0.5353 4.7405
0.0323 -3.8464 2.8474
Sc Si Cl
1 2 1
Cartesian
2.2211 -2.2989 4.9129
1.1106 -1.1495 2.4565
3.3317 -3.4484 7.3694
0.0000 0.0000 0.0000

***

Run c
ScSi2Cl, relaxed, DFT PBE; space group = P4/mmm (123)
1.0
-1.4404 3.6652 -3.0381
-3.7284 1.1053 3.1010
1.7976 1.9282 1.4740
Cl Sc Si
1 1 2
Cartesian
0.1786 2.7967 -0.7821
-0.9654 1.5167 2.2875
0.0000 0.0000 0.0000
-2.5844 2.3852 0.0314

***

Relative energies with respect to the most stable structure, expressed in meV/atom: run a 0; run b 845; run c 468.

***

Run a
ScSi2Cl, relaxed, DFT PBE; space group = Pm (6)
1.0
3.4596 0.0000 0.0000
0.0000 3.4516 -0.0057
0.0000 1.0761 7.2503
Cl Sc Si
1 1 2
Cartesian
0.0000 2.2329 4.3399
1.7298 3.9616 5.5257
0.0000 2.8872 0.4869
1.7298 1.1615 0.5087

***

Run b
ScSi2Cl, relaxed, DFT PBE; space group = R-3m (166)
1.0
8.4809 -0.0177 -0.0105
7.8873 3.1170 -0.0105
7.8873 1.4935 2.7359
Cl Sc Si
1 1 2
Cartesian
6.0639 1.1482 0.6788
18.1917 3.4446 2.0363
0.0086 0.0016 0.0010
12.1192 2.2948 1.3565

***

Run c
ScSi2Cl, relaxed, DFT PBE; space group = P4/mmm (123)
1.0
3.5781 0.0000 0.0000
0.0000 3.5783 0.0000
0.0000 0.0000 5.5214
Cl Sc Si
1 1 2
Cartesian
1.7891 0.0000 2.7607
0.0000 1.7891 2.7607
0.0000 0.0000 0.0000
1.7891 1.7891 0.0000

***

Relative energies with respect to the most stable structure, expressed in meV/atom: run a 0; run b 741; run c 223.